Material: Zn4Cu4Pd
Method: DFT, PBE
State: optimized geometry

Summary:
E_form: -0.162 eV/atom
Density: 8602 kg/m³
Total magnetic moment: 0.0 Bohr magnetons per cell

Unit cell a=8.2298 b=8.2298 c=3.5471 alpha=90.00 beta=90.00 gamma=90.00
Last column: nearest neighbours and their distance in Å.
Space group I4/mmm (No. 139)
Symmetry-distinct sites (fractional):
Zn 0.1686 0.1686 0.0000 [8 per cell]  4 Zn 2.59-2.78, 2 Pd 2.65, 6 Cu 2.66-2.73
Cu 0.0000 0.3400 0.5000 [8 per cell]  5 Cu 2.57-2.63, 6 Zn 2.66-2.73, 1 Pd 2.80
Pd 0.0000 0.0000 0.5000 [2 per cell]  8 Zn 2.65, 4 Cu 2.80

=====

Material: Ce2GeSe6
Method: DFT, PBE
State: optimized geometry

Summary:
E_form (uncorrected): -21.15 kcal/mol of atoms
Density: 5179 kg/m³
Total magnetic moment: 0.0 Bohr magnetons per cell

Unit cell a=6.4188 b=6.4188 c=12.8654 alpha=90.00 beta=90.00 gamma=90.00
Last column: nearest neighbours and their distance in Å.
Space group P4_2/mnm (No. 136)
Symmetry-distinct sites (fractional):
Ce 0.0000 0.0000 0.1665 [4 per cell]  6 Se 2.84-2.88
Ge 0.0000 0.0000 0.5000 [2 per cell]  6 Se 2.59-2.67
Se 0.1869 0.1869 0.3477 [8 per cell]  1 Ge 2.59, 2 Ce 2.85-2.88
Se 0.2063 0.2063 0.0000 [4 per cell]  1 Ge 2.67, 2 Ce 2.84

=====

Material: Li2Ac3Mg2Hg4
Method: DFT, PBE
State: optimized geometry

Summary:
E_form: -0.292 eV/atom
Density: 8049 kg/m³
Total magnetic moment: 0.0 Bohr magnetons per cell

Unit cell a=5.0268 b=5.0268 c=14.5723 alpha=90.00 beta=90.00 gamma=120.00
Last column: nearest neighbours and their distance in Å.
Space group P-3m1 (No. 164)
Symmetry-distinct sites (fractional):
Li 0.3333 0.6667 0.1384 [2 per cell]  3 Hg 2.90
Ac 0.0000 0.0000 0.0000 [1 per cell]  6 Hg 3.48, 6 Li 3.53
Ac 0.0000 0.0000 0.2698 [2 per cell]  6 Hg 3.30-3.53, 3 Li 3.48
Mg 0.3333 0.6667 0.5693 [2 per cell]  4 Hg 2.80-3.00
Hg 0.3333 0.6667 0.3773 [2 per cell]  4 Mg 2.80-3.00
Hg 0.3333 0.6667 0.8676 [2 per cell]  3 Li 2.90

=====

Material: LiCeAlSi2
Method: DFT, PBE
State: optimized geometry

Summary:
E_form (uncorrected): -11.25 kcal/mol of atoms
Density: 4216 kg/m³
Total magnetic moment: 0.9 Bohr magnetons per cell

Unit cell a=4.0597 b=4.0597 c=11.0031 alpha=90.00 beta=90.00 gamma=90.00
Last column: nearest neighbours and their distance in Å.
Space group I-4m2 (No. 119)
Symmetry-distinct sites (fractional):
Li 0.0000 0.0000 0.0000 [2 per cell]  4 Si 2.56
Ce 0.0000 0.5000 0.2500 [2 per cell]  8 Si 3.11, 4 Li 3.42, 4 Al 3.42
Al 0.0000 0.0000 0.5000 [2 per cell]  4 Si 2.56
Si 0.0000 0.5000 0.6411 [4 per cell]  1 Si 2.40, 2 Li 2.56, 2 Al 2.56

=====

Material: CaP2Pb
Method: DFT, PBE
State: optimized geometry

Summary:
E_form: -0.193 eV/atom
Density: 5669 kg/m³
Total magnetic moment: 0.0 Bohr magnetons per cell

Unit cell a=5.3269 b=5.3269 c=3.1921 alpha=90.00 beta=90.00 gamma=90.00
Last column: nearest neighbours and their distance in Å.
Space group P4/mmm (No. 123)
Symmetry-distinct sites (fractional):
Ca 0.0000 0.0000 0.0000 [1 per cell]  8 P 3.11, 2 Ca 3.19
P 0.0000 0.5000 0.5000 [2 per cell]  4 Pb 3.11, 4 Ca 3.11, 2 P 3.19
Pb 0.5000 0.5000 0.0000 [1 per cell]  8 P 3.11, 2 Pb 3.19

=====

Material: Li2ScPt
Method: DFT, PBE
State: optimized geometry

Summary:
Polymorph energy (0 for the lowest one): 0.23 eV per formula unit
E_form: -0.521 eV/atom
Density: 5849 kg/m³
Total magnetic moment: 0.0 Bohr magnetons per cell

Unit cell a=3.3300 b=3.3300 c=6.5015 alpha=90.00 beta=90.00 gamma=90.00
Last column: nearest neighbours and their distance in Å.
Space group P4mm (No. 99)
Symmetry-distinct sites (fractional):
Li 0.0000 0.0000 0.0000 [1 per cell]  4 Li 2.74, 1 Pt 2.87
Li 0.5000 0.5000 0.2165 [1 per cell]  4 Li 2.74, 4 Pt 2.77, 1 Sc 2.82
Sc 0.5000 0.5000 0.6497 [1 per cell]  4 Pt 2.72, 1 Li 2.82
Pt 0.0000 0.0000 0.4408 [1 per cell]  4 Sc 2.72, 5 Li 2.77-2.87

=====

Material: DyTl2Se3
Method: DFT, PBE
State: optimized geometry

Summary:
E_form (uncorrected): -22.57 kcal/mol of atoms
Density: 7578 kg/m³
Total magnetic moment: 0.0 Bohr magnetons per cell

Unit cell a=7.2938 b=12.6577 c=8.0447 alpha=90.00 beta=107.49 gamma=90.00
Last column: nearest neighbours and their distance in Å.
Space group C2/m (No. 12)
Symmetry-distinct sites (fractional):
Dy 0.0000 0.1667 0.0000 [4 per cell]  6 Se 2.89-2.90
Tl 0.0000 0.0000 0.5000 [2 per cell]  6 Se 3.26-3.33
Tl 0.0000 0.3305 0.5000 [4 per cell]  6 Se 3.25-3.34
Tl 0.0000 0.5000 0.0000 [2 per cell]  6 Se 2.95
Se 0.2304 0.0000 0.2103 [4 per cell]  2 Dy 2.90, 1 Tl 2.95
Se 0.2390 0.3301 0.2087 [8 per cell]  2 Dy 2.89, 1 Tl 2.95